# CdIn5Hg2Pb PBE relaxed
data_CdIn5Hg2Pb
_space_group_name_H-M_alt 'P 1'
_space_group_IT_number 1
_cell_length_a 9.5396
_cell_length_b 9.5396
_cell_length_c 11.7042
_cell_angle_alpha 90.00
_cell_angle_beta 90.00
_cell_angle_gamma 152.36
loop_
_space_group_symop_operation_xyz
'x,y,z'
loop_
_atom_site_label
_atom_site_type_symbol
_atom_site_fract_x
_atom_site_fract_y
_atom_site_fract_z
Cd1 Cd 0.1462 0.8538 0.5000
Cd2 Cd 0.8538 0.1462 0.0000
In1 In 0.0031 0.9969 0.1209
In2 In 0.2378 0.7622 0.7338
In3 In 0.2426 0.7574 0.0071
In4 In 0.3839 0.6161 0.5549
In5 In 0.3906 0.6094 0.1860
In6 In 0.6094 0.3906 0.6860
In7 In 0.6161 0.3839 0.0549
In8 In 0.7574 0.2426 0.5071
In9 In 0.7622 0.2378 0.2338
In10 In 0.9969 0.0031 0.6209
Hg1 Hg 0.0894 0.9106 0.8724
Hg2 Hg 0.1519 0.8481 0.2489
Hg3 Hg 0.8481 0.1519 0.7489
Hg4 Hg 0.9106 0.0894 0.3724
Pb1 Pb 0.4572 0.5428 0.8709
Pb2 Pb 0.5428 0.4572 0.3709
# Total magnetic moment: 0.000 μB/f.u.
# DFT formation energy: 0.038 eV/atom